*A*
Pr2Ga3Pd2: optimized geometry, PBE-GGA.

abc: 4.4612 5.6851 6.8440
angles: 112.83 90.00 113.10
Fractional positions:
Pr 0.8500 0.7000 0.2276
Pr 0.1500 0.3000 0.7724
Ga 0.5000 0.0000 0.0000
Ga 0.6164 0.2327 0.4358
Ga 0.3836 0.7673 0.5642
Pd 0.8646 0.7293 0.7764
Pd 0.1354 0.2707 0.2236

Calculated values
magnetic moment	0.00	μB per formula unit
SG	C2/m (12)


*B*
Pr2Ga3Pd2: optimized geometry, PBE-GGA.

abc: 4.2846 7.3151 9.6775
angles: 90.00 102.79 90.00
Fractional positions:
Pr 0.1583 0.2500 0.3166
Pr 0.8417 0.7500 0.6834
Pr 0.9389 0.2500 0.8778
Pr 0.0611 0.7500 0.1222
Ga 0.2245 0.7500 0.4490
Ga 0.7755 0.2500 0.5510
Ga 0.5587 0.4248 0.1175
Ga 0.4413 0.5752 0.8825
Ga 0.4413 0.9248 0.8825
Ga 0.5587 0.0752 0.1175
Pd 0.6912 0.9487 0.3825
Pd 0.3088 0.0513 0.6175
Pd 0.3088 0.4487 0.6175
Pd 0.6912 0.5513 0.3825

Calculated values
magnetic moment	0.00	μB per formula unit
SG	Cmcm (63)


Of them, *A* has the lowest stability.


*A*
Pr8Ga2Pd: optimized geometry, PBE-GGA.

abc: 5.1143 6.9617 9.8892
angles: 102.05 104.99 90.00
Fractional positions:
Pr 0.4068 0.5363 0.8136
Pr 0.6559 0.9774 0.3117
Pr 0.7915 0.6872 0.5830
Pr 0.9775 0.2242 0.9551
Pr 0.2085 0.3128 0.4170
Pr 0.3441 0.0226 0.6883
Pr 0.5932 0.4637 0.1864
Pr 0.0225 0.7758 0.0449
Ga 0.8135 0.2509 0.6270
Ga 0.1865 0.7491 0.3730
Pd 0.5000 0.0000 0.0000

Calculated values
magnetic moment	0.00	μB per formula unit
SG	C2/m (12)


*B*
Pr8Ga2Pd: optimized geometry, PBE-GGA.

abc: 5.3769 7.1559 9.5613
angles: 111.98 106.33 90.00
Fractional positions:
Pr 0.6342 0.8694 0.2684
Pr 0.3658 0.6010 0.7316
Pr 0.1987 0.1987 0.3974
Pr 0.0000 0.2586 0.0000
Pr 0.8013 0.8013 0.6026
Pr 0.6342 0.3990 0.2684
Pr 0.3658 0.1306 0.7316
Pr 0.0000 0.7415 0.0000
Pd 0.5000 0.0000 0.0000
Ga 0.1842 0.6842 0.3685
Ga 0.8158 0.3158 0.6315

Calculated values
magnetic moment	0.00	μB per formula unit
SG	Immm (71)


Of them, *B* has the lowest stability.


*A*
Pr3Ga8Pd3: optimized geometry, PBE-GGA.

abc: 4.3523 8.3408 8.3408
angles: 72.63 74.88 74.88
Fractional positions:
Pr 0.5000 0.5000 0.5000
Pr 0.8142 0.1858 0.1858
Pr 0.1858 0.8142 0.8142
Ga 0.6278 0.0915 0.6529
Ga 0.3722 0.9085 0.3471
Ga 0.6278 0.6529 0.0915
Ga 0.3722 0.3471 0.9085
Ga 0.8344 0.7984 0.5328
Ga 0.1656 0.2016 0.4672
Ga 0.8344 0.5328 0.7984
Ga 0.1656 0.4672 0.2016
Pd 0.5000 0.0000 0.0000
Pd 0.0000 0.7842 0.2158
Pd 0.0000 0.2158 0.7842

Calculated values
magnetic moment	0.00	μB per formula unit
SG	Immm (71)


*B*
Pr3Ga8Pd3: optimized geometry, PBE-GGA.

abc: 4.5276 8.3274 8.4585
angles: 65.67 74.48 74.23
Fractional positions:
Pr 0.2910 0.7210 0.6970
Pr 0.7090 0.2790 0.3030
Pr 0.0000 0.0000 0.0000
Ga 0.1380 0.1490 0.5749
Ga 0.8620 0.8510 0.4251
Ga 0.8501 0.4341 0.8656
Ga 0.1499 0.5659 0.1344
Ga 0.5051 0.6688 0.3211
Ga 0.4949 0.3312 0.6789
Ga 0.3489 0.0204 0.2819
Ga 0.6511 0.9796 0.7181
Pd 0.0000 0.5000 0.5000
Pd 0.6528 0.6982 0.9963
Pd 0.3472 0.3018 0.0037

Calculated values
magnetic moment	0.00	μB per formula unit
SG	C2/m (12)


Of them, *B* has the lowest stability.


*A*
Pr2GaPd3: optimized geometry, PBE-GGA.

abc: 3.8031 4.4312 7.9594
angles: 90.00 90.00 90.00
Fractional positions:
Pr 0.0000 0.5000 0.9898
Pr 0.0000 0.0000 0.5165
Ga 0.5000 0.5000 0.3268
Pd 0.5000 0.0000 0.8418
Pd 0.5000 0.0000 0.1811
Pd 0.5000 0.5000 0.6441

Calculated values
magnetic moment	0.00	μB per formula unit
SG	Pmm2 (25)


*B*
Pr2GaPd3: optimized geometry, PBE-GGA.

abc: 5.9135 5.9135 9.0084
angles: 112.72 112.72 79.81
Fractional positions:
Pr 0.7500 0.2500 0.5000
Pr 0.7529 0.2471 0.0000
Pr 0.2500 0.7500 0.5000
Pr 0.2471 0.7529 0.0000
Ga 0.6677 0.6677 0.3354
Ga 0.3323 0.3323 0.6646
Pd 0.8245 0.8245 0.1734
Pd 0.6511 0.6511 0.8266
Pd 0.1755 0.1755 0.8266
Pd 0.3489 0.3489 0.1734
Pd 0.1713 0.1713 0.3426
Pd 0.8287 0.8287 0.6574

Calculated values
magnetic moment	0.00	μB per formula unit
SG	Fmmm (69)


Of them, *B* has the lowest stability.


*A*
Pr2GaPd4: optimized geometry, PBE-GGA.

abc: 6.2176 6.2176 6.0461
angles: 120.93 120.93 90.02
Fractional positions:
Pr 0.7500 0.2500 0.5000
Pr 0.2500 0.7500 0.5000
Ga 0.0000 0.0000 0.9999
Pd 0.7189 0.2812 0.0001
Pd 0.2812 0.7188 0.9999
Pd 0.2815 0.2815 0.0000
Pd 0.7185 0.7185 0.0000

Calculated values
magnetic moment	0.00	μB per formula unit
SG	I4/mmm (139)


*B*
Pr2GaPd4: optimized geometry, PBE-GGA.

abc: 4.7553 4.7553 8.3792
angles: 110.18 110.18 77.53
Fractional positions:
Pr 0.6412 0.6412 0.2825
Pr 0.3588 0.3588 0.7175
Pd 0.8352 0.8352 0.6704
Pd 0.1648 0.1648 0.3296
Pd 0.0000 0.5000 0.0000
Pd 0.5000 0.0000 0.0000
Ga 0.0000 0.0000 0.0000

Calculated values
magnetic moment	0.00	μB per formula unit
SG	Fmmm (69)


Of them, *B* has the lowest stability.


*A*
PrGa4Pd2: optimized geometry, PBE-GGA.

abc: 4.4131 6.6155 17.6429
angles: 90.00 90.00 90.00
Fractional positions:
Pr 0.7500 0.9927 0.6389
Pr 0.2500 0.0073 0.3611
Pr 0.2500 0.4927 0.8611
Pr 0.7500 0.5073 0.1389
Pd 0.2500 0.7467 0.5347
Pd 0.7500 0.2533 0.4653
Pd 0.7500 0.2467 0.9653
Pd 0.2500 0.7533 0.0347
Pd 0.2500 0.9770 0.7820
Pd 0.7500 0.0230 0.2180
Pd 0.7500 0.4770 0.7180
Pd 0.2500 0.5230 0.2820
Ga 0.2500 0.2814 0.6902
Ga 0.7500 0.7186 0.3098
Ga 0.7500 0.7814 0.8098
Ga 0.2500 0.2186 0.1902
Ga 0.2500 0.6814 0.6827
Ga 0.7500 0.3186 0.3173
Ga 0.7500 0.1814 0.8173
Ga 0.2500 0.8186 0.1827
Ga 0.2500 0.1719 0.5366
Ga 0.7500 0.8281 0.4634
Ga 0.7500 0.6719 0.9634
Ga 0.2500 0.3281 0.0366
Ga 0.2500 0.4876 0.4263
Ga 0.7500 0.5124 0.5737
Ga 0.7500 0.9876 0.0737
Ga 0.2500 0.0124 0.9263

Calculated values
magnetic moment	0.00	μB per formula unit
SG	Pnma (62)


*B*
PrGa4Pd2: optimized geometry, PBE-GGA.

abc: 4.2670 7.8660 7.8660
angles: 90.00 90.00 90.00
Fractional positions:
Pr 0.5000 0.0000 0.0000
Pr 0.0000 0.5000 0.5000
Ga 0.0000 0.0852 0.3341
Ga 0.0000 0.9148 0.6659
Ga 0.5000 0.1659 0.5852
Ga 0.5000 0.8341 0.4148
Ga 0.5000 0.4148 0.8341
Ga 0.5000 0.5852 0.1659
Ga 0.0000 0.3341 0.0852
Ga 0.0000 0.6659 0.9148
Pd 0.0000 0.2171 0.7829
Pd 0.0000 0.7829 0.2171
Pd 0.5000 0.7171 0.7171
Pd 0.5000 0.2829 0.2829

Calculated values
magnetic moment	0.00	μB per formula unit
SG	P4_2/mnm (136)


Of them, *B* has the lowest stability.


*A*
PrSmGaPd: optimized geometry, PBE-GGA.

abc: 4.0202 4.4667 5.9760
angles: 90.00 109.66 90.00
Fractional positions:
Pr 0.1439 0.0000 0.2877
Sm 0.8599 0.5000 0.7197
Ga 0.5716 0.5000 0.1433
Pd 0.4246 0.0000 0.8493

Calculated values
magnetic moment	0.00	μB per formula unit
SG	Amm2 (38)


*B*
PrSmGaPd: optimized geometry, PBE-GGA.

abc: 5.1860 5.1860 5.1860
angles: 60.00 60.00 60.00
Fractional positions:
Pr 0.5000 0.5000 0.5000
Ga 0.2500 0.2500 0.2500
Pd 0.7500 0.7500 0.7500
Sm 0.0000 0.0000 0.0000

Calculated values
magnetic moment	0.00	μB per formula unit
SG	F-43m (216)


Of them, *B* has the lowest stability.


*A*
TbPrGaPd: optimized geometry, PBE-GGA.

abc: 5.1439 5.1439 5.1439
angles: 60.00 60.00 60.00
Fractional positions:
Pr 0.5000 0.5000 0.5000
Tb 0.0000 0.0000 0.0000
Ga 0.2500 0.2500 0.2500
Pd 0.7500 0.7500 0.7500

Calculated values
magnetic moment	0.00	μB per formula unit
SG	F-43m (216)


*B*
TbPrGaPd: optimized geometry, PBE-GGA.

abc: 3.8981 4.4576 6.0045
angles: 90.00 108.94 90.00
Fractional positions:
Tb 0.8608 0.5000 0.7217
Pr 0.1461 0.0000 0.2922
Ga 0.5701 0.5000 0.1402
Pd 0.4230 0.0000 0.8460

Calculated values
magnetic moment	0.00	μB per formula unit
SG	Amm2 (38)


Of them, *A* has the lowest stability.